Tm2CoSi3Ni12, relaxed, DFT PBE; space-group type = R-3m (166); energy = -5.72 eV/atom; formation energy without anion corrections = -0.066 eV/atom
1.0
-7.5904 -2.6638 -3.6054
-6.2649 -6.0898 1.1726
-8.5743 -0.5793 1.9633
Ni Si Tm Co
12 3 2 1
direct
0.5887 0.1872 0.5887 Ni
0.9259 0.3579 0.9259 Ni
0.4113 0.8128 0.4113 Ni
0.8128 0.4113 0.4113 Ni
0.0741 0.6421 0.0741 Ni
0.1872 0.5887 0.5887 Ni
0.0741 0.0741 0.6421 Ni
0.5887 0.5887 0.1872 Ni
0.3579 0.9259 0.9259 Ni
0.4113 0.4113 0.8128 Ni
0.6421 0.0741 0.0741 Ni
0.9259 0.9259 0.3579 Ni
0.5000 0.0000 0.0000 Si
0.0000 0.0000 0.5000 Si
0.0000 0.5000 0.0000 Si
0.6498 0.6498 0.6498 Tm
0.3502 0.3502 0.3502 Tm
0.0000 0.0000 0.0000 Co

NaPmCuO4, relaxed, DFT PBE; space-group type = Cmcm (63); energy = -5.92 eV/atom; formation energy without anion corrections = -1.632 eV/atom
1.0
-0.0611 1.0278 -5.2593
-4.3167 -3.2357 -0.5822
-3.5212 4.0563 3.5641
Pm O Cu Na
2 8 2 2
direct
0.8845 0.7500 0.7690 Pm
0.1155 0.2500 0.2310 Pm
0.0000 0.0000 0.5000 O
0.0000 0.5000 0.5000 O
0.9209 0.2500 0.8419 O
0.5932 0.2500 0.1865 O
0.5000 0.5000 0.5000 O
0.4068 0.7500 0.8135 O
0.5000 0.0000 0.5000 O
0.0791 0.7500 0.1581 O
0.2463 0.7500 0.4926 Cu
0.7537 0.2500 0.5074 Cu
0.3973 0.2500 0.7947 Na
0.6027 0.7500 0.2053 Na

AlVSn3, relaxed, DFT PBE; excess energy over the best structure of this formula in the dataset = 0 meV/atom; space-group type = Pm-3m (221); energy relative to the elements = 0.37 eV per atom; energy = -4.60 eV/atom
1.0
5.1542 0.0000 0.0000
0.0000 5.1542 0.0000
0.0000 0.0000 5.1542
Sn Al V
3 1 1
direct
0.5000 0.0000 0.0000 Sn
0.0000 0.5000 0.0000 Sn
0.0000 0.0000 0.5000 Sn
0.5000 0.5000 0.5000 Al
0.0000 0.0000 0.0000 V

ZrOs2Cl, relaxed, DFT PBE; excess energy over the best structure of this formula in the dataset = 23 meV/atom; space-group type = P4mm (99); energy = -8.22 eV/atom; formation energy without anion corrections = -0.004 eV/atom
1.0
2.9136 0.0000 0.0000
0.0000 2.9136 0.0000
0.0000 0.0000 9.5287
Os Cl Zr
2 1 1
direct
0.0000 0.0000 0.0908 Os
0.5000 0.5000 0.2552 Os
0.5000 0.5000 0.6674 Cl
0.0000 0.0000 0.4865 Zr

LiYSi2, relaxed, DFT PBE; excess energy over the best structure of this formula in the dataset = 675 meV/atom; space-group type = R-3m (166); energy = -4.71 eV/atom; formation energy without anion corrections = 0.096 eV/atom
1.0
-0.8366 8.8938 -2.3756
-1.8020 7.5141 -5.0728
-3.8591 7.9574 -2.6890
Si Y Li
2 1 1
direct
0.0052 0.0052 0.0052 Si
0.4948 0.4948 0.4948 Si
0.2500 0.2500 0.2500 Y
0.7500 0.7500 0.7500 Li

NbGa4Rh5, relaxed, DFT PBE; space-group type = P4/mmm (123); energy relative to the elements = -0.66 eV per atom; energy = -6.56 eV/atom
1.0
2.9759 0.0000 0.0000
0.0000 2.9759 0.0000
0.0000 0.0000 16.2214
Ga Rh Nb
4 5 1
direct
0.0000 0.0000 0.2108 Ga
0.0000 0.0000 0.7892 Ga
0.0000 0.0000 0.5958 Ga
0.0000 0.0000 0.4042 Ga
0.5000 0.5000 0.6890 Rh
0.5000 0.5000 0.8809 Rh
0.5000 0.5000 0.3110 Rh
0.5000 0.5000 0.1191 Rh
0.5000 0.5000 0.5000 Rh
0.0000 0.0000 0.0000 Nb

CrIr2W, relaxed, DFT PBE; excess energy over the best structure of this formula in the dataset = 118 meV/atom; space-group type = Cm (8); energy relative to the elements = -0.12 eV per atom; energy = -10.20 eV/atom
1.0
-1.4422 3.2983 3.0163
-3.0451 1.1030 3.4011
2.5725 -1.2146 3.7874
Ir W Cr
2 1 1
direct
0.2500 0.2500 0.2605 Ir
0.0044 0.0044 0.9738 Ir
0.5008 0.5008 0.4878 W
0.7448 0.7448 0.7779 Cr

LiSnAu2, relaxed, DFT PBE; space-group type = I-42d (122); energy relative to the elements = -0.16 eV per atom; energy = -3.27 eV/atom
1.0
4.1932 0.0000 0.0000
0.0000 4.1932 0.0000
2.0966 2.0966 9.3249
Au Li Sn
4 2 2
direct
0.3750 0.3897 0.7500 Au
0.6103 0.1250 0.2500 Au
0.8750 0.8603 0.7500 Au
0.1397 0.6250 0.2500 Au
0.2500 0.7500 0.5000 Li
0.5000 0.5000 0.0000 Li
0.7500 0.2500 0.5000 Sn
0.0000 0.0000 0.0000 Sn

HoMnCuNi, relaxed, DFT PBE; space-group type = F-43m (216); energy relative to the elements = -0.08 eV per atom; energy = -5.99 eV/atom
1.0
-4.1308 -1.5537 0.9657
-0.4838 -3.6915 2.5592
-1.6240 0.3603 4.2004
Ho Mn Cu Ni
1 1 1 1
direct
0.7500 0.7500 0.7500 Ho
0.2500 0.2500 0.2500 Mn
0.5000 0.5000 0.5000 Cu
0.0000 0.0000 0.0000 Ni

MgB2P, relaxed, DFT PBE; excess energy over the best structure of this formula in the dataset = 85 meV/atom; space-group type = Cm (8); energy relative to the elements = -0.01 eV per atom; energy = -5.10 eV/atom
1.0
-4.8782 1.1241 0.2415
-0.5479 -3.0269 3.0214
3.1384 7.2107 7.7929
B P Mg
8 4 4
direct
0.1061 0.5000 0.9503 B
0.1061 0.0000 0.4503 B
0.9445 0.3019 0.5111 B
0.9445 0.1981 0.0111 B
0.9445 0.6981 0.5111 B
0.7351 0.0000 0.4418 B
0.7351 0.5000 0.9418 B
0.9445 0.8019 0.0111 B
0.7596 0.0000 0.6186 P
0.3734 0.5000 0.8300 P
0.7596 0.5000 0.1186 P
0.3734 0.0000 0.3300 P
0.6596 0.0000 0.8496 Mg
0.2592 0.5000 0.1546 Mg
0.6596 0.5000 0.3496 Mg
0.2592 0.0000 0.6546 Mg

NaPuAgBr6, relaxed, DFT PBE; space-group type = P-31c (163); energy = -4.29 eV/atom; formation energy without anion corrections = -1.123 eV/atom
1.0
7.2193 0.0000 0.0000
-3.6096 6.2521 0.0000
0.0000 0.0000 12.7999
Br Ag Pu Na
12 2 2 2
direct
0.0229 0.6744 0.8754 Br
0.0229 0.3485 0.6246 Br
0.3256 0.9771 0.6246 Br
0.6515 0.9771 0.8754 Br
0.9771 0.3256 0.1246 Br
0.9771 0.6515 0.3754 Br
0.3256 0.3485 0.8754 Br
0.6744 0.6515 0.1246 Br
0.3485 0.3256 0.3754 Br
0.6744 0.0229 0.3754 Br
0.6515 0.6744 0.6246 Br
0.3485 0.0229 0.1246 Br
0.0000 0.0000 0.5000 Ag
0.0000 0.0000 0.0000 Ag
0.6667 0.3333 0.2500 Pu
0.3333 0.6667 0.7500 Pu
0.6667 0.3333 0.7500 Na
0.3333 0.6667 0.2500 Na

Rb2In6Ga3, relaxed, DFT PBE; space-group type = P-62m (189); energy relative to the elements = -0.09 eV per atom; energy = -2.59 eV/atom
1.0
4.9336 0.0000 0.0000
0.0000 7.5589 -4.3641
0.0000 0.0000 8.7282
In Ga Rb
6 3 2
direct
0.0000 0.2000 0.2000 In
0.5000 0.0000 0.3054 In
0.5000 0.6946 0.6946 In
0.0000 0.0000 0.8000 In
0.0000 0.8000 0.0000 In
0.5000 0.3054 0.0000 In
0.5000 0.0000 0.6423 Ga
0.5000 0.6423 0.0000 Ga
0.5000 0.3577 0.3577 Ga
0.0000 0.3333 0.6667 Rb
0.0000 0.6667 0.3333 Rb

TeMoIrI2, relaxed, DFT PBE; excess energy over the best structure of this formula in the dataset = 0 meV/atom; space-group type = P4/mmm (123); energy = -4.07 eV/atom; formation energy without anion corrections = 1.119 eV/atom
1.0
-3.4038 1.4971 -4.0988
-4.3289 -0.5033 3.4110
0.5087 4.9057 1.3694
I Mo Ir Te
2 1 1 1
direct
0.5000 0.0000 0.0000 I
0.0000 0.5000 0.0000 I
0.5000 0.5000 0.5000 Mo
0.0000 0.0000 0.0000 Ir
0.0000 0.0000 0.5000 Te

K2TaPb2S6, relaxed, DFT PBE; space-group type = C2/m (12); energy = -5.06 eV/atom; formation energy without anion corrections = -0.856 eV/atom
1.0
6.8947 0.0624 0.0373
-3.3535 6.0246 0.0373
-1.2909 -2.2189 7.3841
S K Pb Ta
6 2 2 1
direct
0.7835 0.7835 0.6936 S
0.0698 0.3618 0.6969 S
0.2165 0.2165 0.3064 S
0.3618 0.0698 0.6969 S
0.9302 0.6382 0.3031 S
0.6382 0.9302 0.3031 S
0.8237 0.1763 0.0000 K
0.1763 0.8237 0.0000 K
0.3324 0.6676 0.5000 Pb
0.6676 0.3324 0.5000 Pb
0.0000 0.0000 0.5000 Ta

ErU2F11, relaxed, DFT PBE; space-group type = Ibam (72); energy = -7.16 eV/atom; formation energy without anion corrections = -3.753 eV/atom
1.0
7.4836 0.0000 3.9007
3.4907 7.5128 2.4322
0.2611 -0.1685 8.6282
F Er U
22 2 4
direct
0.1483 0.0672 0.2098 F
0.2329 0.5300 0.1861 F
0.5510 0.0300 0.6861 F
0.9490 0.8139 0.4700 F
0.6261 0.2883 0.7117 F
0.4490 0.9700 0.3139 F
0.8517 0.9328 0.7902 F
0.4253 0.7902 0.9328 F
0.3739 0.7117 0.2883 F
0.0510 0.1861 0.5300 F
0.7671 0.4700 0.8139 F
0.1261 0.2117 0.7883 F
0.5000 0.5000 0.5000 F
0.2671 0.3139 0.9700 F
0.0000 0.0000 0.0000 F
0.5747 0.2098 0.0672 F
0.9253 0.4328 0.2902 F
0.0747 0.5672 0.7098 F
0.3517 0.2902 0.4328 F
0.7329 0.6861 0.0300 F
0.6483 0.7098 0.5672 F
0.8739 0.7883 0.2117 F
0.2500 0.2500 0.2500 Er
0.7500 0.7500 0.7500 Er
0.6516 0.6830 0.3170 U
0.3484 0.3170 0.6830 U
0.8484 0.1830 0.8170 U
0.1516 0.8170 0.1830 U

ZrRu2Pt, relaxed, DFT PBE; space-group type = P4mm (99); energy relative to the elements = -0.25 eV per atom; energy = -8.53 eV/atom
1.0
3.3961 0.0000 0.0000
0.0000 3.3961 0.0000
0.0000 0.0000 5.7369
Ru Pt Zr
2 1 1
direct
0.0000 0.0000 0.0227 Ru
0.5000 0.5000 0.2221 Ru
0.5000 0.5000 0.7532 Pt
0.0000 0.0000 0.5020 Zr

NaYMg2Br8, relaxed, DFT PBE; space-group type = P2/m (10); energy = -3.60 eV/atom; formation energy without anion corrections = -1.567 eV/atom
1.0
6.7552 -0.0175 -0.0049
0.0420 6.5051 -0.0078
0.0060 0.0099 8.2208
Y Mg Na Br
1 2 1 8
direct
0.0000 0.0000 0.0000 Y
0.5000 0.5000 0.2625 Mg
0.5000 0.5000 0.7375 Mg
0.0000 0.0000 0.5000 Na
0.3323 0.2823 0.0000 Br
0.6677 0.7177 0.0000 Br
0.8174 0.2361 0.7598 Br
0.3383 0.2866 0.5000 Br
0.1826 0.7639 0.7598 Br
0.8174 0.2361 0.2402 Br
0.1826 0.7639 0.2402 Br
0.6617 0.7134 0.5000 Br

Tb3BiAs2Rh9, relaxed, DFT PBE; space-group type = P-3m1 (164); energy relative to the elements = -0.41 eV per atom; energy = -6.62 eV/atom
1.0
-5.5668 -2.6627 0.9008
5.0666 -2.3514 2.7732
-1.4945 5.6768 7.5438
Tb Rh As Bi
3 9 2 1
direct
0.6667 0.3333 0.2481 Tb
0.3333 0.6667 0.7519 Tb
0.0000 0.0000 0.0000 Tb
0.1428 0.2855 0.2668 Rh
0.7145 0.8572 0.2668 Rh
0.0000 0.5000 0.0000 Rh
0.8572 0.1428 0.7332 Rh
0.2855 0.1428 0.7332 Rh
0.8572 0.7145 0.7332 Rh
0.5000 0.0000 0.0000 Rh
0.5000 0.5000 0.0000 Rh
0.1428 0.8572 0.2668 Rh
0.6667 0.3333 0.8343 As
0.3333 0.6667 0.1657 As
0.0000 0.0000 0.5000 Bi

SiPAu, relaxed, DFT PBE; excess energy over the best structure of this formula in the dataset = 0 meV/atom; space-group type = R3m (160); energy = -4.90 eV/atom; formation energy without anion corrections = -0.199 eV/atom
1.0
6.1384 0.0022 0.0014
5.1319 3.3681 0.0012
5.1319 1.5348 2.9981
Si P Au
1 1 1
direct
0.2721 0.2721 0.2721 Si
0.9988 0.9988 0.9988 P
0.1365 0.1365 0.1365 Au

BaLiMgAu, relaxed, DFT PBE; excess energy over the best structure of this formula in the dataset = 0 meV/atom; space-group type = Cm (8); energy relative to the elements = -0.42 eV per atom; energy = -2.60 eV/atom
1.0
4.8118 0.0000 0.0000
-2.4059 4.1712 -0.0195
0.0000 -2.7997 5.7788
Au Ba Mg Li
1 1 1 1
direct
0.4262 0.8524 0.9235 Au
0.6217 0.2435 0.5037 Ba
0.1074 0.2148 0.9652 Mg
0.8109 0.6219 0.0750 Li

YbB4O7, relaxed, DFT PBE; space-group type = Pmn2_1 (31); energy = -7.79 eV/atom; formation energy without anion corrections = -2.548 eV/atom
1.0
4.2456 0.0000 0.0000
0.0000 4.4266 0.0000
0.0000 0.0000 10.7429
O B Yb
14 8 2
direct
0.1392 0.7269 0.1343 O
0.5865 0.7769 0.0000 O
0.5511 0.3543 0.1396 O
0.1392 0.7269 0.8657 O
0.6434 0.8655 0.2231 O
0.6434 0.8655 0.7769 O
0.0865 0.2231 0.5000 O
0.0511 0.6457 0.3604 O
0.6392 0.2731 0.6343 O
0.5511 0.3543 0.8604 O
0.0511 0.6457 0.6396 O
0.1434 0.1345 0.2769 O
0.1434 0.1345 0.7231 O
0.6392 0.2731 0.3657 O
0.4769 0.6735 0.1208 B
0.4769 0.6735 0.8792 B
0.5012 0.1773 0.7491 B
0.9769 0.3265 0.6208 B
0.5012 0.1773 0.2509 B
0.0012 0.8227 0.7509 B
0.9769 0.3265 0.3792 B
0.0012 0.8227 0.2491 B
0.4848 0.7998 0.5000 Yb
0.9848 0.2002 0.0000 Yb

Mo3Au, relaxed, DFT PBE; space-group type = Cmmm (65); energy relative to the elements = 0.14 eV per atom; energy = -8.80 eV/atom
1.0
-0.9710 0.9881 2.3562
-0.0112 -2.7238 0.2274
8.4634 0.2479 3.3839
Mo Au
3 1
direct
0.5000 0.5000 0.2596 Mo
0.0000 0.0000 0.5000 Mo
0.5000 0.5000 0.7404 Mo
0.0000 0.0000 0.0000 Au